The following is a DFT calculation (PBE) of an optimized crystal structure of TlSn3Br8.

a = 9.054 Å, b = 8.899 Å, c = 8.243 Å
α = 119.85°, β = 90.00°, γ = 120.58°
Atoms (fractional coordinates):
Br 0.258 0.516 0.241
Br 0.279 0.985 0.241
Br 0.742 0.484 0.759
Br 0.732 0.464 0.241
Br 0.706 0.985 0.241
Tl 0.000 0.000 0.000
Br 0.294 0.015 0.759
Br 0.268 0.536 0.759
Sn 0.500 0.500 0.000
Sn 0.500 0.000 0.000
Br 0.721 0.015 0.759
Sn 0.000 0.500 0.000

**Space-group type**: No. 12
**E_form (uncorrected)**: -0.70 eV/atom



The following is a DFT calculation (PBE) of an optimized crystal structure of Sr2MoRu.

a = 5.573 Å, b = 5.573 Å, c = 5.573 Å
α = 129.21°, β = 129.21°, γ = 74.67°
Atoms (fractional coordinates):
Ru 0.750 0.250 0.500
Sr 0.500 0.500 0.000
Sr 0.000 0.000 0.000
Mo 0.250 0.750 0.500

**Space-group type**: No. 139
**Formation energy from the elements**: 1148 meV/atom
**Energy above the most stable polymorph in this dataset**: 883 meV per atom



The following is a DFT calculation (PBE) of an optimized crystal structure of K3ICl.

a = 6.201 Å, b = 6.201 Å, c = 6.201 Å
α = 90.00°, β = 90.00°, γ = 90.00°
Atoms (fractional coordinates):
I 0.500 0.500 0.500
K 0.000 0.500 0.000
Cl 0.000 0.000 0.000
K 0.000 0.000 0.500
K 0.500 0.000 0.000

**Space-group type**: No. 221
**E_form (uncorrected)**: -1.18 eV/atom
**Energy above the most stable polymorph in this dataset**: 0 meV per atom



The following is a DFT calculation (PBE) of an optimized crystal structure of Sc5TlCd2Ir2.

a = 3.516 Å, b = 11.214 Å, c = 11.214 Å
α = 90.00°, β = 90.00°, γ = 90.00°
Atoms (fractional coordinates):
Sc 0.500 0.579 0.706
Sc 0.500 0.000 0.500
Sc 0.500 0.079 0.794
Sc 0.500 0.206 0.079
Sc 0.500 0.294 0.579
Sc 0.500 0.421 0.294
Sc 0.500 0.500 0.000
Cd 0.000 0.829 0.671
Cd 0.000 0.329 0.829
Cd 0.000 0.171 0.329
Ir 0.000 0.628 0.872
Sc 0.500 0.706 0.421
Sc 0.500 0.921 0.206
Ir 0.000 0.372 0.128
Ir 0.000 0.872 0.372
Sc 0.500 0.794 0.921
Tl 0.000 0.000 0.000
Tl 0.000 0.500 0.500
Ir 0.000 0.128 0.628
Cd 0.000 0.671 0.171

**Space-group type**: No. 127
**Formation energy from the elements**: -487 meV/atom



Calculated raw total energy (eV per atom), listed in the same order as above: -3.013 -4.719 -2.516 -5.844
Calculated magnetic moment (μB/f.u.), listed in the same order as above: 0.00 3.85 0.00 0.00